Record 1
PrDy2ZrN4 | PBE | optimized geometry

Lattice parameters (Å, degrees): 5.9813 3.4592 6.0325 90.00 109.22 90.00
Space group P2/m (No. 10)
Symmetry-distinct sites (fractional):
Pr 0.0000 0.0000 0.0000 [1 per cell]
Dy 0.5000 0.0000 0.5000 [1 per cell]
Dy 0.5000 0.5000 0.0000 [1 per cell]
Zr 0.0000 0.5000 0.5000 [1 per cell]
N 0.2418 0.0000 0.7319 [2 per cell]
N 0.2504 0.5000 0.2703 [2 per cell]

Summary:
**Raw total energy**: -8.548 eV/atom
**N(E_F)**: 0.147 states/eV/atom
**Formation energy from raw total energies**: -1.5687 eV per atom

***

Record 2
Dy2PtN | PBE | optimized geometry

Lattice parameters (Å, degrees): 3.3332 3.3332 24.4553 90.00 90.00 120.00
Space group R-3m (No. 166, hexagonal axes)
Symmetry-distinct sites (fractional):
Dy 0.0000 0.0000 0.1100 [6 per cell]
Pt 0.0000 0.0000 0.0000 [3 per cell]
N 0.0000 0.0000 0.5000 [3 per cell]

Summary:
**Raw total energy**: -6.642 eV/atom
**N(E_F)**: 0.286 states/eV/atom
**Formation energy from raw total energies**: -0.7497 eV per atom

***

Record 3
DyPtN | PBE | optimized geometry

Lattice parameters (Å, degrees): 3.3511 3.3511 21.2365 90.00 90.00 90.00
Space group I4/mmm (No. 139)
Symmetry-distinct sites (fractional):
Dy 0.0000 0.0000 0.1256 [4 per cell]
Pt 0.0000 0.0000 0.2858 [4 per cell]
N 0.0000 0.0000 0.3864 [4 per cell]

Summary:
**Raw total energy**: -7.084 eV/atom
**N(E_F)**: 0.568 states/eV/atom
**Formation energy from raw total energies**: -0.7615 eV per atom

***

Record 4
Dy4Pt2N | PBE | optimized geometry

Lattice parameters (Å, degrees): 4.6440 4.6440 14.4575 90.00 90.00 90.00
Space group I4/mmm (No. 139)
Symmetry-distinct sites (fractional):
Dy 0.0000 0.0000 0.1761 [4 per cell]
Dy 0.0000 0.5000 0.0000 [4 per cell]
Pt 0.0000 0.0000 0.3680 [4 per cell]
N 0.0000 0.0000 0.0000 [2 per cell]

Summary:
**Raw total energy**: -6.664 eV/atom
**N(E_F)**: 0.920 states/eV/atom
**Formation energy from raw total energies**: -1.1192 eV per atom

***

Record 5
Dy2ThPtN4 | PBE | optimized geometry

Lattice parameters (Å, degrees): 3.4556 11.7563 11.7240 90.00 90.00 90.00
Space group Cmcm (No. 63)
Symmetry-distinct sites (fractional):
Dy 0.0000 0.1274 0.0499 [8 per cell]
Th 0.0000 0.3857 0.2500 [4 per cell]
Pt 0.0000 0.3524 0.7500 [4 per cell]
N 0.0000 0.0404 0.2500 [4 per cell]
N 0.0000 0.2171 0.6267 [8 per cell]
N 0.0000 0.5000 0.0000 [4 per cell]

Summary:
**Raw total energy**: -8.038 eV/atom
**N(E_F)**: 0.584 states/eV/atom
**Formation energy from raw total energies**: -1.0426 eV per atom

***

Record 6
DyPu3N | PBE | optimized geometry

Lattice parameters (Å, degrees): 4.8820 4.8820 4.8820 90.00 90.00 90.00
Space group Pm-3m (No. 221)
Symmetry-distinct sites (fractional):
Dy 0.0000 0.0000 0.0000 [1 per cell]
Pu 0.0000 0.5000 0.5000 [3 per cell]
N 0.5000 0.5000 0.5000 [1 per cell]

Summary:
**Raw total energy**: -11.469 eV/atom
**N(E_F)**: 3.359 states/eV/atom
**Formation energy from raw total energies**: -0.2839 eV per atom

***

Record 7
DyPu5N6 | PBE | optimized geometry

Lattice parameters (Å, degrees): 6.0349 10.4496 6.0379 90.00 109.50 90.00
Space group C2/m (No. 12)
Symmetry-distinct sites (fractional):
Dy 0.0000 0.0000 0.0000 [2 per cell]
Pu 0.0000 0.1661 0.5000 [4 per cell]
Pu 0.0000 0.3333 0.0000 [4 per cell]
Pu 0.0000 0.5000 0.5000 [2 per cell]
N 0.2454 0.5000 0.2499 [4 per cell]
N 0.2469 0.3313 0.7471 [8 per cell]

Summary:
**Raw total energy**: -11.845 eV/atom
**N(E_F)**: 2.387 states/eV/atom
**Formation energy from raw total energies**: -1.3272 eV per atom

***

Record 8
DyPu2N4 | PBE | optimized geometry

Lattice parameters (Å, degrees): 7.2725 7.2725 6.9707 90.00 90.00 90.00
Space group I-42d (No. 122)
Symmetry-distinct sites (fractional):
Dy 0.0000 0.0000 0.0000 [4 per cell]
Pu 0.1296 0.7500 0.6250 [8 per cell]
N 0.0623 0.6835 0.9269 [16 per cell]

Summary:
**Raw total energy**: -10.636 eV/atom
**Relative energy among the computed polymorphs**: 0.098 eV per atom
**N(E_F)**: 1.453 states/eV/atom
**Formation energy from raw total energies**: -1.1259 eV per atom